Here is an optimized crystal structure of LiTmH2 from the Alexandria database. Energies are from GGA-PBE.

Structure (extended XYZ):
```
4
Lattice="-1.5802 1.1462 2.5429 -3.1609 0.5065 -0.1718 -2.4708 -4.4323 2.4831" Properties=species:S:1:pos:R:3 pbc="T T T"
H -5.3945 -2.0036 3.6131
H -1.8175 -0.7760 1.2411
Tm 0.0000 0.0000 0.0000
Li -3.6060 -1.3898 2.4271
```

Calculated values
calculated total energy = -3.54 eV/atom



Here is an optimized crystal structure of Na2AgAuCl6 from the Alexandria database. Energies are from GGA-PBE.

Structure (extended XYZ):
```
10
Lattice="0.0000 5.0912 5.0912 5.0912 0.0000 5.0912 5.0912 5.0912 0.0000" Properties=species:S:1:pos:R:3 pbc="T T T"
Na 7.6367 7.6367 7.6367
Na 2.5456 2.5456 2.5456
Ag 5.0912 5.0912 5.0912
Au 0.0000 0.0000 0.0000
Cl 5.0912 2.5242 5.0912
Cl 2.5242 5.0912 5.0912
Cl 5.0912 7.6581 5.0912
Cl 5.0912 5.0912 2.5242
Cl 5.0912 5.0912 7.6581
Cl 7.6581 5.0912 5.0912
```

Calculated values
E_form (uncorrected) = -0.793 eV/atom
excess energy over the best structure of this formula in the dataset = 129 meV per atom



Here is an optimized crystal structure of Tb2Nd2YHo2 from the Alexandria database. Energies are from GGA-PBE.

Structure (extended XYZ):
```
7
Lattice="-3.3507 0.7472 -0.7455 -2.7419 -7.6787 12.9055 2.4522 7.2816 -3.7242" Properties=species:S:1:pos:R:3 pbc="T T T"
Tb -2.4920 -0.3068 2.6160
Tb -1.1484 0.6568 5.8198
Nd -1.3865 2.0584 0.0177
Nd -2.2539 -1.7084 8.4182
Y 1.2261 3.6408 -1.8621
Ho -1.7472 -2.7288 5.1181
Ho -1.8932 3.0789 3.3178
```

Calculated values
calculated total energy = -4.77 eV/atom